Record 1
Here is a relaxed SrTl2S3 crystal from Alexandria. Energies are from GGA-PBE.

E_form (uncorrected), eV/atom: -0.433
Density, Mg/m³: 5.6
Density of states at the Fermi level, states/eV/f.u.: 1.76
Calculated total energy, eV for the cell shown: -85.59

a b c (Å): 11.728 10.007 6.001
angles (deg): 90.00 90.00 90.00
Space group Cmcm (No. 63)
Symmetry-distinct sites (fractional):
Sr: 0.000 0.126 0.250
Tl: 0.171 0.500 0.000
S: 0.000 0.314 0.750
S: 0.145 0.125 0.750



Record 2
Here is a relaxed SrUTl2S4 crystal from Alexandria. Energies are from GGA-PBE.

E_form (uncorrected), eV/atom: -1.205
Density, Mg/m³: 6.3
Density of states at the Fermi level, states/eV/f.u.: 4.05
Calculated total energy, eV for the cell shown: -43.85

a b c (Å): 7.291 4.165 7.842
angles (deg): 90.00 107.80 90.00
Space group P2/m (No. 10)
Symmetry-distinct sites (fractional):
Sr: 0.000 0.000 0.000
U: 0.500 0.500 0.000
Tl: 0.000 0.500 0.500
Tl: 0.500 0.000 0.500
S: 0.266 0.500 0.203
S: 0.291 0.000 0.802



Record 3
Here is a relaxed Sr2UTl3S6 crystal from Alexandria. Energies are from GGA-PBE.

E_form (uncorrected), eV/atom: -1.284
Density, Mg/m³: 5.9
Density of states at the Fermi level, states/eV/f.u.: 0.60
Calculated total energy, eV for the cell shown: -123.85

a b c (Å): 7.355 12.689 7.774
angles (deg): 90.00 108.02 90.00
Space group C2/m (No. 12)
Symmetry-distinct sites (fractional):
Sr: 0.000 0.166 0.000
U: 0.000 0.500 0.000
Tl: 0.000 0.000 0.500
Tl: 0.000 0.334 0.500
S: 0.215 0.353 0.202
S: 0.226 0.500 0.789



Record 4
Here is a relaxed Sr2UTlS5 crystal from Alexandria. Energies are from GGA-PBE.

E_form (uncorrected), eV/atom: -1.469
Density, Mg/m³: 4.8
Density of states at the Fermi level, states/eV/f.u.: 3.00
Calculated total energy, eV for the cell shown: -101.76

a b c (Å): 5.110 7.419 14.214
angles (deg): 90.00 90.00 90.00
Space group Immm (No. 71)
Symmetry-distinct sites (fractional):
Sr: 0.000 0.000 0.211
U: 0.000 0.500 0.500
Tl: 0.000 0.500 0.000
S: 0.000 0.000 0.000
S: 0.000 0.265 0.364



Record 5
Here is a relaxed Sr2UTlS6 crystal from Alexandria. Energies are from GGA-PBE.

E_form (uncorrected), eV/atom: -1.307
Density, Mg/m³: 4.8
Density of states at the Fermi level, states/eV/f.u.: 5.87
Calculated total energy, eV for the cell shown: -164.55

a b c (Å): 7.2606 7.2606 18.5209
angles (deg): 90.00 90.00 120.00
Space group R3 (No. 146, hexagonal axes)
Symmetry-distinct sites (fractional):
Sr: 0.0000 0.0000 0.0000
Sr: 0.0000 0.0000 0.4874
U: 0.0000 0.0000 0.7880
Tl: 0.0000 0.0000 0.2758
S: 0.0286 0.7371 0.8744
S: 0.0662 0.3460 0.3809



Record 6
Here is a relaxed SrUTl2S6 crystal from Alexandria. Energies are from GGA-PBE.

E_form (uncorrected), eV/atom: -0.864
Density, Mg/m³: 5.6
Density of states at the Fermi level, states/eV/f.u.: 6.26
Calculated total energy, eV for the cell shown: -102.21

a b c (Å): 7.100 7.323 12.578
angles (deg): 90.00 123.06 90.00
Space group P2_1/c (No. 14)
Symmetry-distinct sites (fractional):
Sr: 0.000 0.000 0.000
U: 0.500 0.000 0.500
Tl: 0.233 0.039 0.745
S: 0.151 0.088 0.270
S: 0.245 0.651 0.056
S: 0.435 0.197 0.072



Record 7
Here is a relaxed SrTl2VS4 crystal from Alexandria. Energies are from GGA-PBE.

E_form (uncorrected), eV/atom: -0.927
Density, Mg/m³: 4.7
Density of states at the Fermi level, states/eV/f.u.: 4.49
Calculated total energy, eV for the cell shown: -78.92

a b c (Å): 8.314 9.428 6.115
angles (deg): 90.00 90.00 90.00
Space group Pmn2_1 (No. 31)
Symmetry-distinct sites (fractional):
Sr: 0.000 0.093 0.000
Tl: 0.206 0.356 0.515
V: 0.000 0.814 0.428
S: 0.000 0.047 0.500
S: 0.000 0.790 0.066
S: 0.229 0.704 0.515



Record 8
Here is a relaxed SrTlVS4 crystal from Alexandria. Energies are from GGA-PBE.

E_form (uncorrected), eV/atom: -1.114
Density, Mg/m³: 4.1
Calculated total energy, eV for the cell shown: -74.95

a b c (Å): 6.877 6.681 8.778
angles (deg): 90.00 106.84 90.00
Space group P2_1/m (No. 11)
Symmetry-distinct sites (fractional):
Sr: 0.237 0.250 0.051
Tl: 0.268 0.250 0.566
V: 0.208 0.750 0.812
S: 0.006 0.004 0.762
S: 0.381 0.750 0.060
S: 0.402 0.750 0.658



Record 9
Here is a relaxed Sr3Tl3WS8 crystal from Alexandria. Energies are from GGA-PBE.

E_form (uncorrected), eV/atom: -1.014
Density, Mg/m³: 5.2
Density of states at the Fermi level, states/eV/f.u.: 3.35
Calculated total energy, eV for the cell shown: -220.00

a b c (Å): 8.4089 8.4089 20.6858
angles (deg): 90.00 90.00 120.00
Space group R-3m (No. 166, hexagonal axes)
Symmetry-distinct sites (fractional):
Sr: 0.0000 0.5000 0.0000
Tl: 0.0000 0.5000 0.5000
W: 0.0000 0.0000 0.0000
S: 0.0000 0.0000 0.2573
S: 0.0627 0.5313 0.7354



Record 10
Here is a relaxed Sr2ZrTl3S6 crystal from Alexandria. Energies are from GGA-PBE.

E_form (uncorrected), eV/atom: -1.207
Density, Mg/m³: 5.5
Density of states at the Fermi level, states/eV/f.u.: 4.63
Calculated total energy, eV for the cell shown: -116.53

a b c (Å): 7.275 12.621 7.512
angles (deg): 90.00 109.28 90.00
Space group C2/m (No. 12)
Symmetry-distinct sites (fractional):
Sr: 0.000 0.166 0.000
Zr: 0.000 0.500 0.000
Tl: 0.000 0.000 0.500
Tl: 0.000 0.335 0.500
S: 0.218 0.354 0.209
S: 0.222 0.500 0.784



Record 11
Here is a relaxed SrTm2S crystal from Alexandria. Energies are from GGA-PBE.

E_form (uncorrected), eV/atom: -0.717
Density, Mg/m³: 6.2
Density of states at the Fermi level, states/eV/f.u.: 3.28
Calculated total energy, eV for the cell shown: -52.86

a b c (Å): 3.7469 3.7469 30.3812
angles (deg): 90.00 90.00 120.00
Space group R-3m (No. 166, hexagonal axes)
Symmetry-distinct sites (fractional):
Sr: 0.0000 0.0000 0.0000
Tm: 0.0000 0.0000 0.1155
S: 0.0000 0.0000 0.5000



Record 12
Here is a relaxed Sr5TmS6 crystal from Alexandria. Energies are from GGA-PBE.

E_form (uncorrected), eV/atom: -2.087
Density, Mg/m³: 4.2
Density of states at the Fermi level, states/eV/f.u.: 2.30
Calculated total energy, eV for the cell shown: -125.38

a b c (Å): 7.273 12.585 7.267
angles (deg): 90.00 109.54 90.00
Space group C2/m (No. 12)
Symmetry-distinct sites (fractional):
Sr: 0.000 0.000 0.000
Sr: 0.000 0.166 0.500
Sr: 0.000 0.331 0.000
Tm: 0.000 0.500 0.500
S: 0.233 0.500 0.262
S: 0.236 0.343 0.738



Record 13
Here is a relaxed SrTm2S4 crystal from Alexandria. Energies are from GGA-PBE.

E_form (uncorrected), eV/atom: -2.122
Density, Mg/m³: 5.4
Density of states at the Fermi level, states/eV/f.u.: 0.00
Energy relative to the lowest polymorph listed for this composition, eV/atom: 0.0165
Calculated total energy, eV for the cell shown: -167.94

a b c (Å): 3.933 12.903 13.345
angles (deg): 90.00 90.00 90.00
Space group Cmcm (No. 63)
Symmetry-distinct sites (fractional):
Sr: 0.000 0.112 0.250
Tm: 0.000 0.366 0.069
S: 0.000 0.000 0.000
S: 0.000 0.269 0.613
S: 0.000 0.445 0.250



Record 14
Here is a relaxed SrTm2S4 crystal from Alexandria. Energies are from GGA-PBE.

E_form (uncorrected), eV/atom: -2.138
Density, Mg/m³: 5.5
Density of states at the Fermi level, states/eV/f.u.: 0.00
Energy relative to the lowest polymorph listed for this composition, eV/atom: 0.0000
Calculated total energy, eV for the cell shown: -168.40

a b c (Å): 11.993 3.949 14.229
angles (deg): 90.00 90.00 90.00
Space group Pnma (No. 62)
Symmetry-distinct sites (fractional):
Sr: 0.241 0.250 0.163
Tm: 0.064 0.250 0.390
Tm: 0.082 0.250 0.900
S: 0.026 0.750 0.784
S: 0.087 0.250 0.577
S: 0.127 0.750 0.028
S: 0.206 0.750 0.330



Record 15
Here is a relaxed Sr2TmUS6 crystal from Alexandria. Energies are from GGA-PBE.

E_form (uncorrected), eV/atom: -1.852
Density, Mg/m³: 5.0
Density of states at the Fermi level, states/eV/f.u.: 0.38
Calculated total energy, eV for the cell shown: -124.82

a b c (Å): 6.934 7.386 12.216
angles (deg): 90.00 124.39 90.00
Space group P2_1/c (No. 14)
Symmetry-distinct sites (fractional):
Sr: 0.223 0.079 0.249
Tm: 0.000 0.000 0.500
U: 0.500 0.000 0.000
S: 0.140 0.193 0.944
S: 0.254 0.700 0.942
S: 0.363 0.033 0.753



Record 16
Here is a relaxed Sr2YTmS4 crystal from Alexandria. Energies are from GGA-PBE.

E_form (uncorrected), eV/atom: -2.026
Density, Mg/m³: 4.9
Density of states at the Fermi level, states/eV/f.u.: 3.48
Calculated total energy, eV for the cell shown: -47.02

a b c (Å): 6.959 4.023 7.144
angles (deg): 90.00 108.98 90.00
Space group P2/m (No. 10)
Symmetry-distinct sites (fractional):
Sr: 0.000 0.000 0.000
Sr: 0.500 0.500 0.000
Y: 0.000 0.500 0.500
Tm: 0.500 0.000 0.500
S: 0.246 0.000 0.728
S: 0.261 0.500 0.274



Record 17
Here is a relaxed Sr3Tm3ZnS8 crystal from Alexandria. Energies are from GGA-PBE.

E_form (uncorrected), eV/atom: -1.842
Density, Mg/m³: 5.0
Density of states at the Fermi level, states/eV/f.u.: 3.71
Calculated total energy, eV for the cell shown: -241.16

a b c (Å): 7.8865 7.8865 20.4004
angles (deg): 90.00 90.00 120.00
Space group R-3m (No. 166, hexagonal axes)
Symmetry-distinct sites (fractional):
Sr: 0.0000 0.5000 0.0000
Tm: 0.0000 0.5000 0.5000
Zn: 0.0000 0.0000 0.5000
S: 0.0000 0.0000 0.2416
S: 0.0069 0.5034 0.2379



Record 18
Here is a relaxed SrU4S8 crystal from Alexandria. Energies are from GGA-PBE.

E_form (uncorrected), eV/atom: -1.455
Density, Mg/m³: 5.6
Density of states at the Fermi level, states/eV/f.u.: 19.87
Energy relative to the lowest polymorph listed for this composition, eV/atom: 0.0274
Calculated total energy, eV for the cell shown: -395.08

a b c (Å): 11.571 11.571 11.571
angles (deg): 90.00 90.00 90.00
Space group F-43m (No. 216)
Symmetry-distinct sites (fractional):
Sr: 0.000 0.000 0.000
U: 0.122 0.122 0.622
S: 0.112 0.112 0.388
S: 0.141 0.141 0.859



Record 19
Here is a relaxed Sr3US6 crystal from Alexandria. Energies are from GGA-PBE.

E_form (uncorrected), eV/atom: -1.753
Density, Mg/m³: 4.1
Calculated total energy, eV for the cell shown: -351.77

a b c (Å): 11.6815 11.6815 14.1687
angles (deg): 90.00 90.00 120.00
Space group R-3c (No. 167, hexagonal axes)
Symmetry-distinct sites (fractional):
Sr: 0.0000 0.3679 0.2500
U: 0.0000 0.0000 0.0000
S: 0.0297 0.1935 0.3982